# 1
Pm2Si2Rh | GGA-PBE | optimized geometry

## Properties
theoretical density = 7.076 g/cm³
raw formation energy = -0.889 eV/atom
electronic total energy = -6.429 eV per atom
crystal system = monoclinic
space group = C2/m, No. 12

Cell: 4.2863 5.8807 9.2404 Å, 87.46 76.59 68.63°
Closest atoms and distances in Å follow each position.
Atoms (fractional coordinates):
Pm1 0.6718 0.3342 0.3221  6 Si 2.97-3.18, 4 Rh 3.09-3.27
Si1 0.3735 0.1291 0.1239  1 Si 2.58, 1 Rh 2.60
Pm2 0.9191 0.2664 0.8953  5 Si 2.96-3.09
Pm3 0.0809 0.7336 0.1047  5 Si 2.96-3.09
Si2 0.9179 0.7300 0.4341  3 Rh 2.45-2.46
Rh1 0.6540 0.0725 0.6196  4 Si 2.45-2.60
Si3 0.0821 0.2700 0.5659  3 Rh 2.45-2.46
Si4 0.6265 0.8709 0.8761  1 Si 2.58, 1 Rh 2.60
Pm4 0.3282 0.6658 0.6779  6 Si 2.97-3.18, 4 Rh 3.09-3.27
Rh2 0.3460 0.9275 0.3804  4 Si 2.45-2.60

=====

# 2
Pm3Si8Rh3 | GGA-PBE | optimized geometry

## Properties
theoretical density = 6.345 g/cm³
raw formation energy = -0.719 eV/atom
electronic total energy = -6.411 eV per atom
crystal system = triclinic
energy above the most stable polymorph in this dataset = 0 meV/atom
space group = P1, No. 1

Cell: 4.2676 8.1539 8.8069 Å, 59.93 75.03 75.40°
Closest atoms and distances in Å follow each position.
Atoms (fractional coordinates):
Rh1 0.6516 0.6975 0.9961  5 Si 2.34-2.52
Pm1 0.7199 0.2463 0.3221  10 Si 2.97-3.31, 2 Rh 3.26-3.29
Pm2 0.2966 0.7617 0.6685  10 Si 2.96-3.26, 1 Rh 3.30
Si1 0.5220 0.3284 0.7145  3 Rh 2.42-2.49, 1 Si 2.51
Si2 0.3874 0.6774 0.2800  2 Si 2.40-2.47, 2 Rh 2.40-2.59
Rh2 0.3568 0.2979 0.0110  5 Si 2.38-2.43
Rh3 0.0312 0.4798 0.5761  6 Si 2.39-2.59
Si3 0.8484 0.4494 0.8892  4 Rh 2.43-2.56
Si4 0.6401 0.0020 0.7339  1 Rh 2.40, 3 Si 2.45-2.56
Si5 0.3738 0.9905 0.2639  1 Rh 2.38, 3 Si 2.45-2.49
Pm3 0.9987 0.0165 0.9835  9 Si 2.96-3.17, 4 Rh 3.14-3.28
Si6 0.8826 0.8246 0.3885  3 Si 2.40-2.49, 1 Rh 2.45
Si7 0.1715 0.5576 0.0799  3 Rh 2.34-2.38
Si8 0.1194 0.1705 0.5928  1 Rh 2.39, 2 Si 2.45-2.56

=====

# 3
Pm6Si3Rh | GGA-PBE | optimized geometry

## Properties
theoretical density = 5.919 g/cm³
raw formation energy = -0.441 eV/atom
electronic total energy = -5.654 eV per atom
crystal system = trigonal
space group = R-3, No. 148

Cell: 8.5540 8.5540 8.5540 Å, 100.05 100.05 100.05°
Closest atoms and distances in Å follow each position.
Atoms (fractional coordinates):
Pm1 0.4262 0.1842 0.5667  1 Rh 2.84, 3 Si 2.99-3.10
Pm2 0.0652 0.3201 0.9521  1 Rh 2.81, 2 Si 2.93-2.94
Si1 0.8754 0.7025 0.3779  7 Pm 2.93-3.20
Rh1 0.0000 0.0000 0.0000  6 Pm 2.81
Pm3 0.5738 0.8158 0.4333  1 Rh 2.84, 3 Si 2.99-3.10
Pm4 0.9521 0.0652 0.3201  1 Rh 2.81, 2 Si 2.93-2.94
Si2 0.6221 0.1246 0.2975  7 Pm 2.93-3.20
Pm5 0.6799 0.0479 0.9348  1 Rh 2.81, 2 Si 2.93-2.94
Pm6 0.1842 0.5667 0.4262  1 Rh 2.84, 3 Si 2.99-3.10
Si3 0.7025 0.3779 0.8754  7 Pm 2.93-3.20
Si4 0.3779 0.8754 0.7025  7 Pm 2.93-3.20
Rh2 0.5000 0.5000 0.5000  6 Pm 2.84
Pm7 0.9348 0.6799 0.0479  1 Rh 2.81, 2 Si 2.93-2.94
Pm8 0.0479 0.9348 0.6799  1 Rh 2.81, 2 Si 2.93-2.94
Pm9 0.8158 0.4333 0.5738  1 Rh 2.84, 3 Si 2.99-3.10
Pm10 0.4333 0.5738 0.8158  1 Rh 2.84, 3 Si 2.99-3.10
Si5 0.1246 0.2975 0.6221  7 Pm 2.93-3.20
Pm11 0.3201 0.9521 0.0652  1 Rh 2.81, 2 Si 2.93-2.94
Pm12 0.5667 0.4262 0.1842  1 Rh 2.84, 3 Si 2.99-3.10
Si6 0.2975 0.6221 0.1246  7 Pm 2.93-3.20

=====

# 4
Pm3Si3Rh | GGA-PBE | optimized geometry

## Properties
theoretical density = 6.890 g/cm³
raw formation energy = -0.844 eV/atom
electronic total energy = -6.255 eV per atom
crystal system = orthorhombic
space group = Cmcm, No. 63

Cell: 4.1470 5.7957 13.3610 Å, 90.00 90.00 110.96°
Closest atoms and distances in Å follow each position.
Atoms (fractional coordinates):
Pm1 0.4843 0.9686 0.2500  7 Si 3.04-3.18, 2 Rh 3.34
Pm2 0.7800 0.5601 0.1023  6 Si 3.02-3.11, 1 Rh 3.33
Si1 0.0663 0.1325 0.0917  1 Si 2.50, 2 Rh 2.51
Si2 0.1901 0.3802 0.2500  2 Si 2.50
Si3 0.8099 0.6198 0.7500  2 Si 2.50
Rh1 0.5000 0.0000 0.5000  4 Si 2.51
Rh2 0.5000 0.0000 0.0000  4 Si 2.51
Si4 0.0663 0.1325 0.4083  1 Si 2.50, 2 Rh 2.51
Si5 0.9337 0.8675 0.5917  1 Si 2.50, 2 Rh 2.51
Pm3 0.2200 0.4399 0.6023  6 Si 3.02-3.11, 1 Rh 3.33
Pm4 0.5157 0.0314 0.7500  7 Si 3.04-3.18, 2 Rh 3.34
Pm5 0.2200 0.4399 0.8977  6 Si 3.02-3.11, 1 Rh 3.33
Si6 0.9337 0.8675 0.9083  1 Si 2.50, 2 Rh 2.51
Pm6 0.7800 0.5601 0.3977  6 Si 3.02-3.11, 1 Rh 3.33

=====

# 5
Pm3Si8Rh3 | GGA-PBE | optimized geometry

## Properties
theoretical density = 6.729 g/cm³
raw formation energy = -0.633 eV/atom
electronic total energy = -6.325 eV per atom
crystal system = orthorhombic
energy above the most stable polymorph in this dataset = 86 meV/atom
space group = Immm, No. 71

Cell: 4.2124 7.8915 7.8915 Å, 75.38 74.52 74.52°
Closest atoms and distances in Å follow each position.
Atoms (fractional coordinates):
Si1 0.6250 0.6627 0.0872  3 Rh 2.52-2.57, 3 Si 2.57-2.62
Rh1 0.0000 0.7771 0.2229  6 Si 2.39-2.57
Rh2 0.0000 0.2229 0.7771  6 Si 2.39-2.57
Si2 0.8343 0.5323 0.7992  1 Rh 2.39, 4 Si 2.57-2.62
Si3 0.3750 0.3373 0.9128  3 Rh 2.52-2.57, 3 Si 2.57-2.62
Si4 0.1657 0.4677 0.2008  1 Rh 2.39, 4 Si 2.57-2.62
Si5 0.8343 0.7992 0.5323  1 Rh 2.39, 4 Si 2.57-2.62
Rh3 0.5000 0.0000 0.0000  4 Si 2.52
Pm1 0.5000 0.5000 0.5000  12 Si 3.14-3.15, 4 Rh 3.40
Si6 0.6250 0.0872 0.6627  3 Rh 2.52-2.57, 3 Si 2.57-2.62
Pm2 0.8099 0.1901 0.1901  8 Si 2.99-3.04, 4 Rh 3.07-3.10
Si7 0.1657 0.2008 0.4677  1 Rh 2.39, 4 Si 2.57-2.62
Pm3 0.1901 0.8099 0.8099  8 Si 2.99-3.04, 4 Rh 3.07-3.10
Si8 0.3750 0.9128 0.3373  3 Rh 2.52-2.57, 3 Si 2.57-2.62

=====

# 6
PmSi3Rh2 | GGA-PBE | optimized geometry

## Properties
theoretical density = 7.282 g/cm³
raw formation energy = -0.797 eV/atom
electronic total energy = -6.751 eV per atom
crystal system = orthorhombic
energy above the most stable polymorph in this dataset = 64 meV/atom
space group = Cmcm, No. 63

Cell: 5.5108 6.0785 6.0785 Å, 102.97 90.00 90.00°
Closest atoms and distances in Å follow each position.
Atoms (fractional coordinates):
Pm1 0.2500 0.3324 0.3324  7 Si 2.93-3.25
Si1 0.7500 0.1269 0.4579  1 Si 2.39, 4 Rh 2.41-2.64
Rh1 0.0000 0.2082 0.7917  6 Si 2.41-2.64
Si2 0.2500 0.5421 0.8731  1 Si 2.39, 4 Rh 2.41-2.64
Rh2 0.0000 0.7917 0.2082  6 Si 2.41-2.64
Pm2 0.7500 0.6676 0.6676  7 Si 2.93-3.25
Si3 0.7500 0.0550 0.0550  2 Si 2.39, 4 Rh 2.45
Si4 0.7500 0.4579 0.1269  1 Si 2.39, 4 Rh 2.41-2.64
Rh3 0.5000 0.7917 0.2082  6 Si 2.41-2.64
Si5 0.2500 0.9450 0.9450  2 Si 2.39, 4 Rh 2.45
Si6 0.2500 0.8731 0.5421  1 Si 2.39, 4 Rh 2.41-2.64
Rh4 0.5000 0.2082 0.7917  6 Si 2.41-2.64

=====

# 7
Pm7Si2Rh | GGA-PBE | optimized geometry

## Properties
theoretical density = 6.057 g/cm³
raw formation energy = 0.383 eV/atom
electronic total energy = -4.762 eV per atom
crystal system = cubic
space group = Fm-3m, No. 225

Cell: 7.6926 7.6926 7.6926 Å, 60.00 60.00 60.00°
Closest atoms and distances in Å follow each position.
Atoms (fractional coordinates):
Rh1 0.0000 0.0000 0.0000  6 Pm 2.66
Pm1 0.7558 0.7558 0.2442  1 Rh 2.66, 1 Pm 2.78
Pm2 0.2442 0.7558 0.2442  1 Rh 2.66, 1 Pm 2.78
Si1 0.7500 0.7500 0.7500  12 Pm 3.85
Pm3 0.7558 0.2442 0.2442  1 Rh 2.66, 1 Pm 2.78
Si2 0.2500 0.2500 0.2500  12 Pm 3.85
Pm4 0.5000 0.5000 0.5000  6 Pm 2.78
Pm5 0.2442 0.2442 0.7558  1 Rh 2.66, 1 Pm 2.78
Pm6 0.2442 0.7558 0.7558  1 Rh 2.66, 1 Pm 2.78
Pm7 0.7558 0.2442 0.7558  1 Rh 2.66, 1 Pm 2.78

=====

# 8
Pm4SiRh3 | GGA-PBE | optimized geometry

## Properties
theoretical density = 8.220 g/cm³
raw formation energy = -0.738 eV/atom
electronic total energy = -6.548 eV per atom
crystal system = orthorhombic
space group = Pmm2, No. 25

Cell: 4.0840 4.1784 10.8531 Å, 90.00 90.00 90.00°
Closest atoms and distances in Å follow each position.
Atoms (fractional coordinates):
Pm1 0.0000 0.0000 0.1435  3 Rh 2.91-3.06, 4 Si 3.04
Rh1 0.0000 0.5000 0.5858  2 Rh 2.81, 5 Pm 2.93-2.98
Si1 0.5000 0.5000 0.0671  2 Rh 2.54
Pm2 0.5000 0.0000 0.6407  7 Rh 2.98-3.21
Rh2 0.0000 0.0000 0.4121  2 Rh 2.81, 5 Pm 2.91-2.97
Rh3 0.5000 0.0000 0.9332  2 Si 2.54
Pm3 0.0000 0.5000 0.8560  5 Rh 2.93-3.04, 2 Si 3.07
Pm4 0.5000 0.5000 0.3616  6 Rh 2.97-3.18, 1 Si 3.20

=====

# 9
Pm2Si3Rh2 | GGA-PBE | optimized geometry

## Properties
theoretical density = 7.345 g/cm³
raw formation energy = -0.801 eV/atom
electronic total energy = -6.583 eV per atom
crystal system = monoclinic
energy above the most stable polymorph in this dataset = 107 meV/atom
space group = C2/m, No. 12

Cell: 4.0626 5.7300 6.8960 Å, 117.05 90.00 110.76°
Closest atoms and distances in Å follow each position.
Atoms (fractional coordinates):
Rh1 0.8671 0.7341 0.7782  5 Si 2.44-2.52
Pm1 0.1415 0.2830 0.7666  4 Rh 2.98-3.19, 5 Si 3.06-3.32
Pm2 0.8585 0.7170 0.2334  4 Rh 2.98-3.19, 5 Si 3.06-3.32
Si1 0.3605 0.7210 0.5660  3 Rh 2.44-2.48, 1 Si 2.62
Si2 0.5000 0.0000 0.0000  4 Rh 2.52, 2 Si 2.62
Rh2 0.1329 0.2659 0.2218  5 Si 2.44-2.52
Si3 0.6395 0.2790 0.4340  3 Rh 2.44-2.48, 1 Si 2.62

=====

# 10
Pm3SiRh3 | GGA-PBE | optimized geometry

## Properties
theoretical density = 8.399 g/cm³
raw formation energy = -0.571 eV/atom
electronic total energy = -6.532 eV per atom
crystal system = trigonal
energy above the most stable polymorph in this dataset = 251 meV/atom
space group = R3m, No. 160

Cell: 5.8364 5.8288 5.8288 Å, 109.44 109.50 109.50°
Closest atoms and distances in Å follow each position.
Atoms (fractional coordinates):
Rh1 0.4768 0.0000 0.4206  1 Si 2.39
Pm1 0.5757 0.6019 0.6019  6 Rh 2.89-3.09, 1 Si 3.20
Pm2 0.9738 0.0000 0.3981  6 Rh 2.89-3.09, 1 Si 3.20
Rh2 0.4768 0.4206 0.0000  1 Si 2.39
Rh3 0.0561 0.5794 0.5794  1 Si 2.39
Si1 0.4420 0.0000 0.0000  3 Rh 2.39
Pm3 0.9738 0.3981 0.0000  6 Rh 2.89-3.09, 1 Si 3.20